[1]
Entry from Alexandria: crystalline Tb2Th3Mg2 at its relaxed geometry (PBE).

* energy: -34.00 eV/f.u.

Structure (CIF):
```
data_Tb2Th3Mg2
_chemical_formula_sum 'Tb4 Th6 Mg4'
_cell_length_a 3.5443
_cell_length_b 34.0837
_cell_length_c 3.5373
_cell_angle_alpha 90.00
_cell_angle_beta 90.00
_cell_angle_gamma 90.00
_symmetry_space_group_name_H-M 'C m m m'
_symmetry_Int_Tables_number 65
_symmetry_space_group_name_Hall '-C 2 2'
loop_
_atom_site_label
_atom_site_fract_x
_atom_site_fract_y
_atom_site_fract_z
Tb1 0.0000 0.2061 0.0000
Th1 0.0000 0.0744 0.0000
Th2 0.0000 0.5000 0.5000
Mg1 0.0000 0.3577 0.5000
```


[2]
Entry from Alexandria: crystalline Tb3ThMg at its relaxed geometry (PBE).

* energy: -22.70 eV/f.u.

Structure (CIF):
```
data_Tb3ThMg
_chemical_formula_sum 'Tb12 Th4 Mg4'
_cell_length_a 18.1430
_cell_length_b 4.8939
_cell_length_c 7.0205
_cell_angle_alpha 90.00
_cell_angle_beta 101.46
_cell_angle_gamma 90.00
_symmetry_space_group_name_H-M 'C 1 2/m 1'
_symmetry_Int_Tables_number 12
loop_
_symmetry_equiv_pos_as_xyz
'x,y,z'
'-x,-y,-z'
'-x,y,-z'
'x,-y,z'
'x+1/2,y+1/2,z'
'-x+1/2,-y+1/2,-z'
'-x+1/2,y+1/2,-z'
'x+1/2,-y+1/2,z'
loop_
_atom_site_label
_atom_site_fract_x
_atom_site_fract_y
_atom_site_fract_z
Tb1 0.0023 0.0000 0.2489
Tb2 0.1022 0.5000 0.5552
Tb3 0.1986 0.0000 0.8504
Th1 0.1987 0.0000 0.3560
Mg1 0.0970 0.5000 0.0499
```


[3]
Entry from Alexandria: crystalline TbThMg at its relaxed geometry (PBE).

* energy: -13.55 eV/f.u.

Structure (CIF):
```
data_TbThMg
_chemical_formula_sum 'Tb4 Th4 Mg4'
_cell_length_a 6.1063
_cell_length_b 3.5147
_cell_length_c 16.7115
_cell_angle_alpha 90.00
_cell_angle_beta 90.17
_cell_angle_gamma 90.00
_symmetry_space_group_name_H-M 'C 1 2/m 1'
_symmetry_Int_Tables_number 12
loop_
_symmetry_equiv_pos_as_xyz
'x,y,z'
'-x,-y,-z'
'-x,y,-z'
'x,-y,z'
'x+1/2,y+1/2,z'
'-x+1/2,-y+1/2,-z'
'-x+1/2,y+1/2,-z'
'x+1/2,-y+1/2,z'
loop_
_atom_site_label
_atom_site_fract_x
_atom_site_fract_y
_atom_site_fract_z
Tb1 0.0011 0.0000 0.2581
Th1 0.1668 0.5000 0.0857
Mg1 0.1660 0.5000 0.5751
```


[4]
Entry from Alexandria: crystalline TbThMg at its relaxed geometry (PBE).

* energy: -13.72 eV/f.u.

Structure (CIF):
```
data_TbThMg
_chemical_formula_sum 'Tb2 Th2 Mg2'
_cell_length_a 3.5548
_cell_length_b 3.5548
_cell_length_c 13.8907
_cell_angle_alpha 90.00
_cell_angle_beta 90.00
_cell_angle_gamma 90.00
_symmetry_space_group_name_H-M 'P 4/n m m'
_symmetry_Int_Tables_number 129
loop_
_symmetry_equiv_pos_as_xyz
'x,y,z'
'-x,-y,-z'
'-y+1/2,x,z'
'y+1/2,-x,-z'
'-x+1/2,-y+1/2,z'
'x+1/2,y+1/2,-z'
'y,-x+1/2,z'
'-y,x+1/2,-z'
'x+1/2,-y,-z'
'-x+1/2,y,z'
'-y,-x,-z'
'y,x,z'
'-x,y+1/2,-z'
'x,-y+1/2,z'
'y+1/2,x+1/2,-z'
'-y+1/2,-x+1/2,z'
loop_
_atom_site_label
_atom_site_fract_x
_atom_site_fract_y
_atom_site_fract_z
Tb1 0.2500 0.2500 0.2310
Th1 0.2500 0.2500 0.5891
Mg1 0.2500 0.2500 0.9340
```


[5]
Entry from Alexandria: crystalline TbThMg at its relaxed geometry (PBE).

* energy: -12.86 eV/f.u.

Structure (CIF):
```
data_TbThMg
_chemical_formula_sum 'Tb2 Th2 Mg2'
_cell_length_a 4.7923
_cell_length_b 4.7923
_cell_length_c 8.0295
_cell_angle_alpha 90.00
_cell_angle_beta 90.00
_cell_angle_gamma 90.00
_symmetry_space_group_name_H-M 'P 4/n m m'
_symmetry_Int_Tables_number 129
loop_
_symmetry_equiv_pos_as_xyz
'x,y,z'
'-x,-y,-z'
'-y+1/2,x,z'
'y+1/2,-x,-z'
'-x+1/2,-y+1/2,z'
'x+1/2,y+1/2,-z'
'y,-x+1/2,z'
'-y,x+1/2,-z'
'x+1/2,-y,-z'
'-x+1/2,y,z'
'-y,-x,-z'
'y,x,z'
'-x,y+1/2,-z'
'x,-y+1/2,z'
'y+1/2,x+1/2,-z'
'-y+1/2,-x+1/2,z'
loop_
_atom_site_label
_atom_site_fract_x
_atom_site_fract_y
_atom_site_fract_z
Tb1 0.2500 0.7500 0.0000
Th1 0.2500 0.2500 0.3399
Mg1 0.2500 0.2500 0.7335
```


[6]
Entry from Alexandria: crystalline TbTh2Mg at its relaxed geometry (PBE).

* energy: -20.66 eV/f.u.

Structure (CIF):
```
data_TbTh2Mg
_chemical_formula_sum 'Tb3 Th6 Mg3'
_cell_length_a 3.4558
_cell_length_b 3.4558
_cell_length_c 35.4621
_cell_angle_alpha 90.00
_cell_angle_beta 90.00
_cell_angle_gamma 120.00
_symmetry_space_group_name_H-M 'R 3 m'
_symmetry_Int_Tables_number 160
_symmetry_space_group_name_Hall 'R 3 -2"'
loop_
_atom_site_label
_atom_site_fract_x
_atom_site_fract_y
_atom_site_fract_z
Tb1 0.0000 0.0000 0.0000
Th1 0.0000 0.0000 0.4175
Th2 0.0000 0.0000 0.5817
Mg1 0.0000 0.0000 0.1662
```


Short version: energy of formation from the pure elements = 0.709; 0.209; 0.096; -0.076; 0.780; 0.403 eV/f.u., in the order given.